[1]
Below is a PBEsol-optimized structure of TaFeCl2, with properties calculated at the SCAN level.

Structure (CIF):
```
data_TaFeCl2
_cell_length_a 3.234
_cell_length_b 3.077
_cell_length_c 7.678
_cell_angle_alpha 90.00
_cell_angle_beta 99.69
_cell_angle_gamma 90.00
_symmetry_space_group_name_H-M 'P 1 m 1'
_symmetry_Int_Tables_number 6
_symmetry_space_group_name_Hall 'P -2y'
loop_
_atom_site_label
_atom_site_fract_x
_atom_site_fract_y
_atom_site_fract_z
_atom_site_occupancy
Ta1 0.000 0.000 0.000 1
Fe1 0.470 0.500 0.841 1
Cl1 0.110 0.500 0.256 1
Cl2 0.764 0.000 0.659 1
```

Uncorrected energy   -1.887 Ry per atom
Uncorrected formation energy   -2.0 eV/f.u.

---

[2]
Below is a PBEsol-optimized structure of Ta2FeCl, with properties calculated at the SCAN level.

Structure (CIF):
```
data_Ta2FeCl
_cell_length_a 4.514
_cell_length_b 4.514
_cell_length_c 2.833
_cell_angle_alpha 90.00
_cell_angle_beta 90.00
_cell_angle_gamma 90.00
_symmetry_space_group_name_H-M 'P 4/m m m'
_symmetry_Int_Tables_number 123
_symmetry_space_group_name_Hall '-P 4 2'
loop_
_atom_site_label
_atom_site_fract_x
_atom_site_fract_y
_atom_site_fract_z
_atom_site_occupancy
Ta1 0.000 0.500 0.000 1
Fe1 0.000 0.000 0.500 1
Cl1 0.500 0.500 0.500 1
```

Uncorrected energy   -2.890 Ry per atom
Uncorrected formation energy   2.0 eV/f.u.

---

[3]
Below is a PBEsol-optimized structure of TaFe2Cl, with properties calculated at the SCAN level.

Structure (CIF):
```
data_TaFe2Cl
_cell_length_a 3.042
_cell_length_b 3.042
_cell_length_c 5.950
_cell_angle_alpha 90.00
_cell_angle_beta 90.00
_cell_angle_gamma 90.00
_symmetry_space_group_name_H-M 'P 4/m m m'
_symmetry_Int_Tables_number 123
_symmetry_space_group_name_Hall '-P 4 2'
loop_
_atom_site_label
_atom_site_fract_x
_atom_site_fract_y
_atom_site_fract_z
_atom_site_occupancy
Ta1 0.000 0.000 0.000 1
Fe1 0.500 0.500 0.228 1
Cl1 0.000 0.000 0.500 1
```

Uncorrected energy   -2.009 Ry per atom
Uncorrected formation energy   1.5 eV/f.u.

---

[4]
Below is a PBEsol-optimized structure of Ta2FeCl, with properties calculated at the SCAN level.

Structure (CIF):
```
data_Ta2FeCl
_cell_length_a 8.864
_cell_length_b 2.909
_cell_length_c 4.690
_cell_angle_alpha 90.00
_cell_angle_beta 102.58
_cell_angle_gamma 90.00
_symmetry_space_group_name_H-M 'C 1 m 1'
_symmetry_Int_Tables_number 8
_symmetry_space_group_name_Hall 'C -2y'
loop_
_atom_site_label
_atom_site_fract_x
_atom_site_fract_y
_atom_site_fract_z
_atom_site_occupancy
Ta1 0.000 0.000 0.000 1
Ta2 0.218 0.000 0.589 1
Fe1 0.228 0.500 0.098 1
Cl1 0.481 0.000 0.472 1
```

Uncorrected energy   -2.895 Ry per atom
Uncorrected formation energy   1.7 eV/f.u.

---

[5]
Below is a PBEsol-optimized structure of FeTcCl, with properties calculated at the SCAN level.

Structure (CIF):
```
data_FeTcCl
_cell_length_a 5.380
_cell_length_b 5.380
_cell_length_c 5.380
_cell_angle_alpha 90.00
_cell_angle_beta 90.00
_cell_angle_gamma 90.00
_symmetry_space_group_name_H-M 'F -4 3 m'
_symmetry_Int_Tables_number 216
_symmetry_space_group_name_Hall 'F -4 2 3'
loop_
_atom_site_label
_atom_site_fract_x
_atom_site_fract_y
_atom_site_fract_z
_atom_site_occupancy
Fe1 0.000 0.000 0.000 1
Tc1 0.000 0.000 0.500 1
Cl1 0.250 0.250 0.750 1
```

Uncorrected energy   -1.401 Ry per atom
Uncorrected formation energy   4.0 eV/f.u.

---

[6]
Below is a PBEsol-optimized structure of Fe3TcCl, with properties calculated at the SCAN level.

Structure (CIF):
```
data_Fe3TcCl
_cell_length_a 4.443
_cell_length_b 4.443
_cell_length_c 4.443
_cell_angle_alpha 90.00
_cell_angle_beta 90.00
_cell_angle_gamma 90.00
_symmetry_space_group_name_H-M 'P m -3 m'
_symmetry_Int_Tables_number 221
_symmetry_space_group_name_Hall '-P 4 2 3'
loop_
_atom_site_label
_atom_site_fract_x
_atom_site_fract_y
_atom_site_fract_z
_atom_site_occupancy
Fe1 0.000 0.000 0.500 1
Tc1 0.000 0.000 0.000 1
Cl1 0.500 0.500 0.500 1
```

Uncorrected energy   -1.325 Ry per atom
Uncorrected formation energy   7.3 eV/f.u.

---

[7]
Below is a PBEsol-optimized structure of Fe2TcCl, with properties calculated at the SCAN level.

Structure (CIF):
```
data_Fe2TcCl
_cell_length_a 2.747
_cell_length_b 4.199
_cell_length_c 4.415
_cell_angle_alpha 90.00
_cell_angle_beta 90.00
_cell_angle_gamma 90.00
_symmetry_space_group_name_H-M 'P m m m'
_symmetry_Int_Tables_number 47
_symmetry_space_group_name_Hall '-P 2 2'
loop_
_atom_site_label
_atom_site_fract_x
_atom_site_fract_y
_atom_site_fract_z
_atom_site_occupancy
Fe1 0.000 0.000 0.000 1
Fe2 0.500 0.500 0.000 1
Tc1 0.000 0.500 0.500 1
Cl1 0.500 0.000 0.500 1
```

Uncorrected energy   -1.408 Ry per atom
Uncorrected formation energy   2.7 eV/f.u.

---

[8]
Below is a PBEsol-optimized structure of Fe2TcCl, with properties calculated at the SCAN level.

Structure (CIF):
```
data_Fe2TcCl
_cell_length_a 2.898
_cell_length_b 4.630
_cell_length_c 8.024
_cell_angle_alpha 90.00
_cell_angle_beta 90.00
_cell_angle_gamma 90.00
_symmetry_space_group_name_H-M 'C m m 2'
_symmetry_Int_Tables_number 35
_symmetry_space_group_name_Hall 'C 2 -2'
loop_
_atom_site_label
_atom_site_fract_x
_atom_site_fract_y
_atom_site_fract_z
_atom_site_occupancy
Fe1 0.000 0.000 0.000 1
Fe2 0.000 0.500 0.237 1
Tc1 0.000 0.000 0.482 1
Cl1 0.000 0.500 0.763 1
```

Uncorrected energy   -1.431 Ry per atom
Uncorrected formation energy   1.4 eV/f.u.

---

[9]
Below is a PBEsol-optimized structure of Fe2TcCl, with properties calculated at the SCAN level.

Structure (CIF):
```
data_Fe2TcCl
_cell_length_a 5.854
_cell_length_b 5.854
_cell_length_c 5.854
_cell_angle_alpha 90.00
_cell_angle_beta 90.00
_cell_angle_gamma 90.00
_symmetry_space_group_name_H-M 'F m -3 m'
_symmetry_Int_Tables_number 225
_symmetry_space_group_name_Hall '-F 4 2 3'
loop_
_atom_site_label
_atom_site_fract_x
_atom_site_fract_y
_atom_site_fract_z
_atom_site_occupancy
Fe1 0.250 0.250 0.250 1
Tc1 0.000 0.000 0.000 1
Cl1 0.000 0.000 0.500 1
```

Uncorrected energy   -1.376 Ry per atom
Uncorrected formation energy   4.4 eV/f.u.

---

[10]
Below is a PBEsol-optimized structure of Fe2TcCl, with properties calculated at the SCAN level.

Structure (CIF):
```
data_Fe2TcCl
_cell_length_a 5.819
_cell_length_b 5.819
_cell_length_c 5.819
_cell_angle_alpha 90.00
_cell_angle_beta 90.00
_cell_angle_gamma 90.00
_symmetry_space_group_name_H-M 'F -4 3 m'
_symmetry_Int_Tables_number 216
_symmetry_space_group_name_Hall 'F -4 2 3'
loop_
_atom_site_label
_atom_site_fract_x
_atom_site_fract_y
_atom_site_fract_z
_atom_site_occupancy
Fe1 0.000 0.000 0.000 1
Fe2 0.250 0.250 0.250 1
Tc1 0.000 0.000 0.500 1
Cl1 0.250 0.250 0.750 1
```

Uncorrected energy   -1.395 Ry per atom
Uncorrected formation energy   3.4 eV/f.u.

---

[11]
Below is a PBEsol-optimized structure of FeTe2Cl, with properties calculated at the SCAN level.

Structure (CIF):
```
data_FeTe2Cl
_cell_length_a 3.6757
_cell_length_b 3.6757
_cell_length_c 22.2765
_cell_angle_alpha 90.00
_cell_angle_beta 90.00
_cell_angle_gamma 120.00
_symmetry_space_group_name_H-M 'R -3 m'
_symmetry_Int_Tables_number 166
_symmetry_space_group_name_Hall '-R 3 2"'
loop_
_atom_site_label
_atom_site_fract_x
_atom_site_fract_y
_atom_site_fract_z
_atom_site_occupancy
Fe1 0.0000 0.0000 0.0000 1
Te1 0.0000 0.0000 0.2706 1
Cl1 0.0000 0.0000 0.5000 1
```

Uncorrected energy   -1.861 Ry per atom
Uncorrected formation energy   -0.7 eV/f.u.

---

[12]
Below is a PBEsol-optimized structure of FeTeCl4, with properties calculated at the SCAN level.

Structure (CIF):
```
data_FeTeCl4
_cell_length_a 7.951
_cell_length_b 7.951
_cell_length_c 7.951
_cell_angle_alpha 90.00
_cell_angle_beta 90.00
_cell_angle_gamma 90.00
_symmetry_space_group_name_H-M 'F -4 3 m'
_symmetry_Int_Tables_number 216
_symmetry_space_group_name_Hall 'F -4 2 3'
loop_
_atom_site_label
_atom_site_fract_x
_atom_site_fract_y
_atom_site_fract_z
_atom_site_occupancy
Fe1 0.000 0.000 0.000 1
Te1 0.250 0.250 0.750 1
Cl1 0.126 0.126 0.374 1
```

Uncorrected energy   -1.007 Ry per atom
Uncorrected formation energy   5.1 eV/f.u.

---

[13]
Below is a PBEsol-optimized structure of FeTeCl3, with properties calculated at the SCAN level.

Structure (CIF):
```
data_FeTeCl3
_cell_length_a 4.703
_cell_length_b 4.703
_cell_length_c 4.703
_cell_angle_alpha 90.00
_cell_angle_beta 90.00
_cell_angle_gamma 90.00
_symmetry_space_group_name_H-M 'P m -3 m'
_symmetry_Int_Tables_number 221
_symmetry_space_group_name_Hall '-P 4 2 3'
loop_
_atom_site_label
_atom_site_fract_x
_atom_site_fract_y
_atom_site_fract_z
_atom_site_occupancy
Fe1 0.000 0.000 0.000 1
Te1 0.500 0.500 0.500 1
Cl1 0.000 0.000 0.500 1
```

Uncorrected energy   -1.185 Ry per atom
Uncorrected formation energy   -1.3 eV/f.u.

---

[14]
Below is a PBEsol-optimized structure of FeTeCl2, with properties calculated at the SCAN level.

Structure (CIF):
```
data_FeTeCl2
_cell_length_a 4.174
_cell_length_b 4.337
_cell_length_c 10.028
_cell_angle_alpha 90.00
_cell_angle_beta 90.00
_cell_angle_gamma 90.00
_symmetry_space_group_name_H-M 'C m m m'
_symmetry_Int_Tables_number 65
_symmetry_space_group_name_Hall '-C 2 2'
loop_
_atom_site_label
_atom_site_fract_x
_atom_site_fract_y
_atom_site_fract_z
_atom_site_occupancy
Fe1 0.000 0.000 0.000 1
Te1 0.000 0.000 0.500 1
Cl1 0.000 0.500 0.148 1
```

Uncorrected energy   -1.342 Ry per atom
Uncorrected formation energy   -1.7 eV/f.u.

---

[15]
Below is a PBEsol-optimized structure of FeTeCl2, with properties calculated at the SCAN level.

Structure (CIF):
```
data_FeTeCl2
_cell_length_a 5.914
_cell_length_b 6.442
_cell_length_c 8.778
_cell_angle_alpha 90.00
_cell_angle_beta 90.00
_cell_angle_gamma 90.00
_symmetry_space_group_name_H-M 'F m m m'
_symmetry_Int_Tables_number 69
_symmetry_space_group_name_Hall '-F 2 2'
loop_
_atom_site_label
_atom_site_fract_x
_atom_site_fract_y
_atom_site_fract_z
_atom_site_occupancy
Fe1 0.000 0.000 0.000 1
Te1 0.000 0.000 0.500 1
Cl1 0.000 0.250 0.250 1
```

Uncorrected energy   -1.310 Ry per atom
Uncorrected formation energy   0.1 eV/f.u.